Record 1
Entry from Alexandria via LeMat-Bulk: Hf3Ti2Fe2 after structural relaxation (GGA-PBE).

Values from the calculation:
The energy of formation from the pure elements is -135 meV per atom.

The structure in CIF format:
```
data_Hf3Ti2Fe2
_chemical_formula_sum 'Hf6 Ti4 Fe4'
_cell_length_a 10.509
_cell_length_b 3.153
_cell_length_c 8.232
_cell_angle_alpha 90.00
_cell_angle_beta 116.03
_cell_angle_gamma 90.00
_symmetry_space_group_name_H-M 'C 1 2/m 1'
_symmetry_Int_Tables_number 12
_symmetry_space_group_name_Hall '-C 2y'
loop_
_atom_site_label
_atom_site_type_symbol
_atom_site_fract_x
_atom_site_fract_y
_atom_site_fract_z
Hf1 Hf 0.000 0.000 0.000
Hf2 Hf 0.108 0.000 0.426
Ti1 Ti 0.166 0.500 0.831
Fe1 Fe 0.191 0.500 0.242
```

=====

Record 2
Entry from Alexandria via LeMat-Bulk: Hf5TiFe4 after structural relaxation (GGA-PBE).

Values from the calculation:
The energy of formation from the pure elements is -236 meV per atom.

The structure in CIF format:
```
data_Hf5TiFe4
_chemical_formula_sum 'Hf5 Ti1 Fe4'
_cell_length_a 3.139
_cell_length_b 3.139
_cell_length_c 16.508
_cell_angle_alpha 90.00
_cell_angle_beta 90.00
_cell_angle_gamma 90.00
_symmetry_space_group_name_H-M 'P 4/m m m'
_symmetry_Int_Tables_number 123
_symmetry_space_group_name_Hall '-P 4 2'
loop_
_atom_site_label
_atom_site_type_symbol
_atom_site_fract_x
_atom_site_fract_y
_atom_site_fract_z
Hf1 Hf 0.000 0.000 0.000
Hf2 Hf 0.000 0.000 0.190
Hf3 Hf 0.000 0.000 0.379
Ti1 Ti 0.500 0.500 0.500
Fe1 Fe 0.500 0.500 0.095
Fe2 Fe 0.500 0.500 0.284
```

=====

Record 3
Entry from Alexandria via LeMat-Bulk: HfTiFe3 after structural relaxation (GGA-PBE).

Values from the calculation:
The energy of formation from the pure elements is 672 meV per atom. The calculation puts the energy above the most stable polymorph in this dataset at 0.0 meV per atom.

The structure in CIF format:
```
data_HfTiFe3
_chemical_formula_sum 'Hf1 Ti1 Fe3'
_cell_length_a 4.247
_cell_length_b 4.247
_cell_length_c 4.247
_cell_angle_alpha 90.00
_cell_angle_beta 90.00
_cell_angle_gamma 90.00
_symmetry_space_group_name_H-M 'P m -3 m'
_symmetry_Int_Tables_number 221
_symmetry_space_group_name_Hall '-P 4 2 3'
loop_
_atom_site_label
_atom_site_type_symbol
_atom_site_fract_x
_atom_site_fract_y
_atom_site_fract_z
Hf1 Hf 0.000 0.000 0.000
Ti1 Ti 0.500 0.500 0.500
Fe1 Fe 0.000 0.500 0.500
```

=====

Record 4
Entry from Alexandria via LeMat-Bulk: Hf2TiFe after structural relaxation (GGA-PBE).

Values from the calculation:
The energy of formation from the pure elements is -106 meV per atom.

The structure in CIF format:
```
data_Hf2TiFe
_chemical_formula_sum 'Hf8 Ti4 Fe4'
_cell_length_a 3.128
_cell_length_b 10.624
_cell_length_c 8.730
_cell_angle_alpha 90.00
_cell_angle_beta 90.00
_cell_angle_gamma 90.00
_symmetry_space_group_name_H-M 'C m c m'
_symmetry_Int_Tables_number 63
_symmetry_space_group_name_Hall '-C 2c 2'
loop_
_atom_site_label
_atom_site_type_symbol
_atom_site_fract_x
_atom_site_fract_y
_atom_site_fract_z
Hf1 Hf 0.000 0.135 0.058
Ti1 Ti 0.000 0.421 0.250
Fe1 Fe 0.000 0.252 0.750
```

=====

Record 5
Entry from Alexandria via LeMat-Bulk: HfTiFe after structural relaxation (GGA-PBE).

Values from the calculation:
The energy of formation from the pure elements is -243 meV per atom. The calculation puts the energy above the most stable polymorph in this dataset at 0.0 meV per atom.

The structure in CIF format:
```
data_HfTiFe
_chemical_formula_sum 'Hf4 Ti4 Fe4'
_cell_length_a 5.192
_cell_length_b 5.426
_cell_length_c 6.854
_cell_angle_alpha 90.00
_cell_angle_beta 90.00
_cell_angle_gamma 90.00
_symmetry_space_group_name_H-M 'I m m a'
_symmetry_Int_Tables_number 74
_symmetry_space_group_name_Hall '-I 2b 2'
loop_
_atom_site_label
_atom_site_type_symbol
_atom_site_fract_x
_atom_site_fract_y
_atom_site_fract_z
Hf1 Hf 0.000 0.250 0.114
Ti1 Ti 0.000 0.000 0.500
Fe1 Fe 0.250 0.250 0.750
```

=====

Record 6
Entry from Alexandria via LeMat-Bulk: Hf2TiFe2 after structural relaxation (GGA-PBE).

Values from the calculation:
The energy of formation from the pure elements is -184 meV per atom.

The structure in CIF format:
```
data_Hf2TiFe2
_chemical_formula_sum 'Hf4 Ti2 Fe4'
_cell_length_a 6.239
_cell_length_b 6.239
_cell_length_c 4.221
_cell_angle_alpha 90.00
_cell_angle_beta 90.00
_cell_angle_gamma 90.00
_symmetry_space_group_name_H-M 'P 4/m b m'
_symmetry_Int_Tables_number 127
_symmetry_space_group_name_Hall '-P 4 2ab'
loop_
_atom_site_label
_atom_site_type_symbol
_atom_site_fract_x
_atom_site_fract_y
_atom_site_fract_z
Hf1 Hf 0.183 0.317 0.000
Ti1 Ti 0.000 0.000 0.500
Fe1 Fe 0.121 0.621 0.500
```

=====

Record 7
Entry from Alexandria via LeMat-Bulk: HfTi2Fe3 after structural relaxation (GGA-PBE).

Values from the calculation:
The energy of formation from the pure elements is -356 meV per atom.

The structure in CIF format:
```
data_HfTi2Fe3
_chemical_formula_sum 'Hf1 Ti2 Fe3'
_cell_length_a 3.012
_cell_length_b 3.012
_cell_length_c 9.078
_cell_angle_alpha 90.00
_cell_angle_beta 90.00
_cell_angle_gamma 90.00
_symmetry_space_group_name_H-M 'P 4/m m m'
_symmetry_Int_Tables_number 123
_symmetry_space_group_name_Hall '-P 4 2'
loop_
_atom_site_label
_atom_site_type_symbol
_atom_site_fract_x
_atom_site_fract_y
_atom_site_fract_z
Hf1 Hf 0.000 0.000 0.000
Ti1 Ti 0.000 0.000 0.338
Fe1 Fe 0.500 0.500 0.180
Fe2 Fe 0.500 0.500 0.500
```

=====

Record 8
Entry from Alexandria via LeMat-Bulk: Hf5TiFe6 after structural relaxation (GGA-PBE).

Values from the calculation:
The energy of formation from the pure elements is -323 meV per atom.

The structure in CIF format:
```
data_Hf5TiFe6
_chemical_formula_sum 'Hf10 Ti2 Fe12'
_cell_length_a 7.605
_cell_length_b 13.190
_cell_length_c 4.396
_cell_angle_alpha 90.00
_cell_angle_beta 125.25
_cell_angle_gamma 90.00
_symmetry_space_group_name_H-M 'C 1 2/m 1'
_symmetry_Int_Tables_number 12
_symmetry_space_group_name_Hall '-C 2y'
loop_
_atom_site_label
_atom_site_type_symbol
_atom_site_fract_x
_atom_site_fract_y
_atom_site_fract_z
Hf1 Hf 0.000 0.000 0.000
Hf2 Hf 0.000 0.167 0.500
Hf3 Hf 0.000 0.336 0.000
Ti1 Ti 0.000 0.500 0.500
Fe1 Fe 0.245 0.500 0.245
Fe2 Fe 0.247 0.336 0.747
```

=====

Record 9
Entry from Alexandria via LeMat-Bulk: Hf2TiFe after structural relaxation (GGA-PBE).

Values from the calculation:
The energy of formation from the pure elements is -131 meV per atom.

The structure in CIF format:
```
data_Hf2TiFe
_chemical_formula_sum 'Hf4 Ti2 Fe2'
_cell_length_a 3.175
_cell_length_b 4.669
_cell_length_c 9.504
_cell_angle_alpha 90.00
_cell_angle_beta 90.00
_cell_angle_gamma 90.00
_symmetry_space_group_name_H-M 'I m m 2'
_symmetry_Int_Tables_number 44
_symmetry_space_group_name_Hall 'I 2 -2'
loop_
_atom_site_label
_atom_site_type_symbol
_atom_site_fract_x
_atom_site_fract_y
_atom_site_fract_z
Hf1 Hf 0.000 0.000 0.000
Hf2 Hf 0.000 0.500 0.217
Ti1 Ti 0.000 0.500 0.789
Fe1 Fe 0.000 0.000 0.492
```

=====

Record 10
Entry from Alexandria via LeMat-Bulk: HfTiFe after structural relaxation (GGA-PBE).

Values from the calculation:
The energy of formation from the pure elements is -9 meV per atom. The calculation puts the energy above the most stable polymorph in this dataset at 234.7 meV per atom.

The structure in CIF format:
```
data_HfTiFe
_chemical_formula_sum 'Hf6 Ti6 Fe6'
_cell_length_a 4.413
_cell_length_b 10.771
_cell_length_c 6.213
_cell_angle_alpha 90.00
_cell_angle_beta 90.00
_cell_angle_gamma 90.00
_symmetry_space_group_name_H-M 'A m m 2'
_symmetry_Int_Tables_number 38
_symmetry_space_group_name_Hall 'A 2 -2'
loop_
_atom_site_label
_atom_site_type_symbol
_atom_site_fract_x
_atom_site_fract_y
_atom_site_fract_z
Hf1 Hf 0.000 0.000 0.000
Hf2 Hf 0.000 0.240 0.280
Ti1 Ti 0.000 0.000 0.520
Ti2 Ti 0.500 0.167 0.019
Fe1 Fe 0.500 0.000 0.281
Fe2 Fe 0.500 0.120 0.639
```

=====

Record 11
Entry from Alexandria via LeMat-Bulk: HfZr2TiFe after structural relaxation (GGA-PBE).

Values from the calculation:
The energy of formation from the pure elements is 1328 meV per atom.

The structure in CIF format:
```
data_HfZr2TiFe
_chemical_formula_sum 'Hf1 Zr2 Ti1 Fe1'
_cell_length_a 4.824
_cell_length_b 4.824
_cell_length_c 4.859
_cell_angle_alpha 90.00
_cell_angle_beta 90.00
_cell_angle_gamma 90.00
_symmetry_space_group_name_H-M 'P 4/m m m'
_symmetry_Int_Tables_number 123
_symmetry_space_group_name_Hall '-P 4 2'
loop_
_atom_site_label
_atom_site_type_symbol
_atom_site_fract_x
_atom_site_fract_y
_atom_site_fract_z
Hf1 Hf 0.000 0.000 0.000
Zr1 Zr 0.000 0.500 0.500
Ti1 Ti 0.000 0.000 0.500
Fe1 Fe 0.500 0.500 0.000
```

=====

Record 12
Entry from Alexandria via LeMat-Bulk: Hf4TlFe after structural relaxation (GGA-PBE).

Values from the calculation:
The energy of formation from the pure elements is 156 meV per atom. The calculation puts the energy above the most stable polymorph in this dataset at 194.3 meV per atom.

The structure in CIF format:
```
data_Hf4TlFe
_chemical_formula_sum 'Hf8 Tl2 Fe2'
_cell_length_a 7.837
_cell_length_b 6.605
_cell_length_c 5.521
_cell_angle_alpha 90.00
_cell_angle_beta 107.72
_cell_angle_gamma 90.00
_symmetry_space_group_name_H-M 'P 1 21/c 1'
_symmetry_Int_Tables_number 14
_symmetry_space_group_name_Hall '-P 2ybc'
loop_
_atom_site_label
_atom_site_type_symbol
_atom_site_fract_x
_atom_site_fract_y
_atom_site_fract_z
Hf1 Hf 0.133 0.148 0.151
Hf2 Hf 0.244 0.667 0.293
Tl1 Tl 0.500 0.000 0.500
Fe1 Fe 0.000 0.000 0.500
```

=====

no.,VASP energy (eV/atom),size of the total moment (μB per cell)
1,-9.074,0.00
2,-9.388,0.28
3,-7.976,1.96
4,-9.172,0.00
5,-9.014,1.16
6,-9.129,0.00
7,-8.878,0.00
8,-9.359,0.01
9,-9.197,0.24
10,-8.779,0.00
11,-7.354,0.02
12,-8.285,0.00